Version one
Computed, not measured: a crystal of Al2SbP relaxed with PBEsol at the SCAN level of DFT.

Cell: 4.719 4.719 4.663 Å, 109.84 109.84 107.70°
Element x y z (fractional)
Al 0.000 0.500 0.000
Al 0.500 0.000 0.000
Sb 0.000 0.000 0.500
P 0.500 0.500 0.500

Computed properties:
For the density of states at the Fermi level, the calculation gives 1.76 states/eV/f.u. The symmetry is No. 12. For the density, the calculation gives 4.243 g/cm3.

---

Version two
Computed, not measured: a crystal of Al2SbP relaxed with PBEsol at the SCAN level of DFT.

Cell: 3.673 3.673 6.955 Å, 105.15 105.15 59.70°
Element x y z (fractional)
Al 0.236 0.236 0.207
Al 0.764 0.764 0.793
Sb 0.000 0.000 0.500
P 0.500 0.500 0.000

Computed properties:
For the density of states at the Fermi level, the calculation gives 1.36 states/eV/f.u. The symmetry is No. 12. For the density, the calculation gives 4.443 g/cm3.

---

On energetic grounds, version two is preferred over the next structure by 328 meV per atom.

---

Version one
Computed, not measured: a crystal of Sc2AlP relaxed with PBEsol at the SCAN level of DFT.

Cell: 3.651 5.355 5.355 Å, 43.12 90.00 90.00°
Element x y z (fractional)
Sc 0.000 0.000 0.000
Sc 0.500 0.284 0.284
Al 0.000 0.722 0.722
P 0.500 0.556 0.556

Computed properties:
For the density of states at the Fermi level, the calculation gives 2.14 states/eV/f.u. The symmetry is No. 38. For the density, the calculation gives 3.431 g/cm3.

---

Version two
Computed, not measured: a crystal of Sc2AlP relaxed with PBEsol at the SCAN level of DFT.

Cell: 4.664 4.664 4.664 Å, 60.00 60.00 60.00°
Element x y z (fractional)
Sc 0.250 0.250 0.250
Sc 0.750 0.750 0.750
Al 0.000 0.000 0.000
P 0.500 0.500 0.500

Computed properties:
For the density of states at the Fermi level, the calculation gives 3.13 states/eV/f.u. The symmetry is No. 225. For the density, the calculation gives 3.423 g/cm3.

---

Version three
Computed, not measured: a crystal of Sc2AlP relaxed with PBEsol at the SCAN level of DFT.

Cell: 5.040 5.040 5.040 Å, 136.11 123.16 74.48°
Element x y z (fractional)
Sc 0.228 0.228 0.000
Sc 0.772 0.772 0.000
Al 0.500 0.000 0.500
P 0.000 0.500 0.500

Computed properties:
For the density of states at the Fermi level, the calculation gives 3.06 states/eV/f.u. The symmetry is No. 71. For the density, the calculation gives 3.387 g/cm3.

---

On energetic grounds, version one is preferred over the next structure by 328 meV per atom.

---

Version one
Computed, not measured: a crystal of AlPSe2 relaxed with PBEsol at the SCAN level of DFT.

Cell: 6.487 6.487 6.487 Å, 34.24 34.24 34.24°
Element x y z (fractional)
Al 0.000 0.000 0.000
P 0.500 0.500 0.500
Se 0.250 0.250 0.250
Se 0.750 0.750 0.750

Computed properties:
For the density of states at the Fermi level, the calculation gives 1.59 states/eV/f.u. The symmetry is No. 166. For the density, the calculation gives 4.653 g/cm3.

---

Version two
Computed, not measured: a crystal of AlPSe2 relaxed with PBEsol at the SCAN level of DFT.

Cell: 7.399 7.399 7.399 Å, 153.91 152.64 38.16°
Element x y z (fractional)
Al 0.000 0.000 0.000
P 0.149 0.649 0.500
Se 0.432 0.432 0.000
Se 0.702 0.202 0.500

Computed properties:
For the density of states at the Fermi level, the calculation gives 1.46 states/eV/f.u. The symmetry is No. 44. For the density, the calculation gives 4.385 g/cm3.

---

Version three
Computed, not measured: a crystal of AlPSe2 relaxed with PBEsol at the SCAN level of DFT.

Cell: 4.386 3.594 5.637 Å, 90.00 112.00 90.00°
Element x y z (fractional)
Al 0.000 0.000 0.000
P 0.428 0.500 0.129
Se 0.580 0.500 0.782
Se 0.863 0.000 0.386

Computed properties:
For the density of states at the Fermi level, the calculation gives 1.17 states/eV/f.u. The symmetry is No. 6. For the density, the calculation gives 4.350 g/cm3.

---

On energetic grounds, version three is preferred over the next structure by 140 meV per atom.

---

Version one
Computed, not measured: a crystal of AlSi2P relaxed with PBEsol at the SCAN level of DFT.

Cell: 5.080 5.080 5.080 Å, 144.24 130.00 62.98°
Element x y z (fractional)
Al 0.000 0.000 0.000
Si 0.280 0.780 0.500
Si 0.720 0.220 0.500
P 0.500 0.500 0.000

Computed properties:
For the density of states at the Fermi level, the calculation gives 1.45 states/eV/f.u. The symmetry is No. 71. For the density, the calculation gives 3.267 g/cm3.

---

Version two
Computed, not measured: a crystal of AlSi2P relaxed with PBEsol at the SCAN level of DFT.

Cell: 6.599 6.599 6.599 Å, 30.08 30.08 30.08°
Element x y z (fractional)
Al 0.000 0.000 0.000
Si 0.241 0.241 0.241
Si 0.492 0.492 0.492
P 0.751 0.751 0.751

Computed properties:
For the density of states at the Fermi level, the calculation gives 1.50 states/eV/f.u. The symmetry is No. 160. For the density, the calculation gives 2.963 g/cm3.

---

Version three
Computed, not measured: a crystal of AlSi2P relaxed with PBEsol at the SCAN level of DFT.

Cell: 5.554 5.554 2.600 Å, 99.77 99.77 51.22°
Element x y z (fractional)
Al 0.000 0.000 0.000
Si 0.250 0.250 0.545
Si 0.498 0.498 0.522
P 0.744 0.744 0.669

Computed properties:
For the density of states at the Fermi level, the calculation gives 1.10 states/eV/f.u. The symmetry is No. 8. For the density, the calculation gives 3.086 g/cm3.

---

On energetic grounds, version two is preferred over the next structure by 62 meV per atom.

---

Version one
Computed, not measured: a crystal of AlSiP relaxed with PBEsol at the SCAN level of DFT.

Cell: 5.166 5.166 5.166 Å, 145.42 145.42 49.71°
Element x y z (fractional)
Al 0.000 0.000 0.000
Si 0.305 0.305 0.000
P 0.678 0.678 0.000

Computed properties:
For the density of states at the Fermi level, the calculation gives 1.03 states/eV/f.u. The symmetry is No. 107. For the density, the calculation gives 3.231 g/cm3.

---

Version two
Computed, not measured: a crystal of AlSiP relaxed with PBEsol at the SCAN level of DFT.

Cell: 4.346 4.346 2.803 Å, 90.00 90.00 120.00°
Element x y z (fractional)
Al 0.000 0.000 0.000
Si 0.667 0.333 0.000
P 0.333 0.667 0.500

Computed properties:
For the density of states at the Fermi level, the calculation gives 1.23 states/eV/f.u. The symmetry is No. 187. For the density, the calculation gives 3.116 g/cm3.

---

On energetic grounds, version one is preferred over the next structure by 276 meV per atom.

---

Version one
Computed, not measured: a crystal of AlPW2 relaxed with PBEsol at the SCAN level of DFT.

Cell: 4.265 4.265 3.096 Å, 90.00 90.00 90.00°
Element x y z (fractional)
Al 0.000 0.000 0.000
P 0.500 0.500 0.000
W 0.000 0.500 0.500
W 0.500 0.000 0.500

Computed properties:
For the density of states at the Fermi level, the calculation gives 3.78 states/eV/f.u. The symmetry is No. 123. For the density, the calculation gives 12.550 g/cm3.

---

Version two
Computed, not measured: a crystal of AlPW2 relaxed with PBEsol at the SCAN level of DFT.

Cell: 2.889 2.889 16.233 Å, 90.00 90.00 120.00°
Element x y z (fractional)
Al 0.333 0.667 0.250
Al 0.667 0.333 0.750
P 0.000 0.000 0.000
P 0.000 0.000 0.500
W 0.333 0.667 0.615
W 0.333 0.667 0.885
W 0.667 0.333 0.115
W 0.667 0.333 0.385

Computed properties:
For the density of states at the Fermi level, the calculation gives 2.27 states/eV/f.u. The symmetry is No. 194. For the density, the calculation gives 12.044 g/cm3.

---

On energetic grounds, version two is preferred over the next structure by 214 meV per atom.